The following is a DFT calculation (PBE-GGA) of a relaxed structure of YAsS3.

The calculation puts the formation energy without anion corrections at -0.5521 eV per atom. For the energy above the most stable polymorph in this dataset, the calculation gives 512 meV per atom. The magnetic moment is 0.0 μB per formula unit. Its symmetry is Pm-3m.

a = 4.7364 Å, b = 4.7364 Å, c = 4.7364 Å
α = 90.00°, β = 90.00°, γ = 90.00°
With the nearest neighbours (Å) after each atom.
Element x y z (fractional)
Y  0.5000  0.5000  0.5000  12 S 3.35
S  0.0000  0.0000  0.5000  2 As 2.37
S  0.0000  0.5000  0.0000  2 As 2.37
S  0.5000  0.0000  0.0000  2 As 2.37
As  0.0000  0.0000  0.0000  6 S 2.37



The following is a DFT calculation (PBE-GGA) of a relaxed structure of La5Sb2AsN.

The calculation puts the formation energy without anion corrections at -1.1735 eV per atom. The magnetic moment is 0.0 μB per formula unit. Its symmetry is P4/mmm.

a = 4.7760 Å, b = 4.7760 Å, c = 11.9260 Å
α = 90.00°, β = 90.00°, γ = 90.00°
With the nearest neighbours (Å) after each atom.
Element x y z (fractional)
La  0.5000  0.5000  0.0000  4 As 3.38, 2 Sb 3.40
La  0.0000  0.0000  0.2445  1 As 2.92, 1 N 3.05
La  0.5000  0.0000  0.5000  2 N 2.39
La  0.0000  0.5000  0.5000  2 N 2.39
La  0.0000  0.0000  0.7555  1 As 2.92, 1 N 3.05
Sb  0.5000  0.5000  0.2855  9 La 3.40-3.50
Sb  0.5000  0.5000  0.7145  9 La 3.40-3.50
N  0.0000  0.0000  0.5000  4 La 2.39
As  0.0000  0.0000  0.0000  2 La 2.92